one | A plane-wave DFT calculation with GGA-PBE was carried out for a relaxed structure of Rb2As4Pd3.

Summary:
As for the symmetry: P2_1/c (14).

Cell lengths 6.9571, 15.7525, 4.8012 Å; angles 90.00, 100.45, 90.00 degrees
Element x y z (fractional)
Rb  0.1825  0.1168  0.0177
Rb  0.1825  0.3832  0.5178
Rb  0.8175  0.6168  0.4822
Rb  0.8175  0.8832  0.9822
As  0.1883  0.5678  0.0871
As  0.1883  0.9322  0.5871
As  0.3890  0.6423  0.8069
As  0.3890  0.8577  0.3069
As  0.6110  0.1423  0.6931
As  0.6110  0.3577  0.1931
As  0.8117  0.0678  0.4129
As  0.8117  0.4322  0.9129
Pd  0.3374  0.7009  0.3259
Pd  0.3374  0.7991  0.8259
Pd  0.5000  0.0000  0.5000
Pd  0.5000  0.5000  0.0000
Pd  0.6626  0.2009  0.1741
Pd  0.6626  0.2991  0.6741

two | A plane-wave DFT calculation with GGA-PBE was carried out for a relaxed structure of Rb2As4Pd3.

Summary:
As for the symmetry: Fmmm (69).

Cell lengths 9.6556, 8.7590, 5.8563 Å; angles 80.02, 63.30, 36.68 degrees
Element x y z (fractional)
Rb  0.1673  0.1673  0.8327
Rb  0.8327  0.8327  0.1673
As  0.2222  0.5541  0.4459
As  0.4459  0.7778  0.2222
As  0.5541  0.2222  0.7778
As  0.7778  0.4459  0.5541
Pd  0.0000  0.0000  0.5000
Pd  0.5000  0.5000  0.0000
Pd  0.5000  0.5000  0.5000

Referenced to the most stable arrangement, the calculated values in meV/atom are one 0; two 39.

one | A plane-wave DFT calculation with GGA-PBE was carried out for a relaxed structure of ReAs2Pd.

Summary:
As for the symmetry: R-3m (166).

Cell lengths 9.1778, 9.1778, 9.1778 Å; angles 18.40, 18.40, 18.40 degrees
Element x y z (fractional)
Re  0.0000  0.0000  0.0000
As  0.0908  0.0908  0.0908
As  0.9092  0.9092  0.9092
Pd  0.5000  0.5000  0.5000

two | A plane-wave DFT calculation with GGA-PBE was carried out for a relaxed structure of ReAs2Pd.

Summary:
As for the symmetry: I-42d (122).

Cell lengths 6.8355, 6.8355, 6.8355 Å; angles 131.36, 131.36, 71.24 degrees
Element x y z (fractional)
Re  0.0000  0.0000  0.0000
Re  0.7500  0.2500  0.5000
As  0.1123  0.6250  0.9873
As  0.3750  0.3623  0.4873
As  0.6377  0.1250  0.0127
As  0.8750  0.8877  0.5127
Pd  0.2500  0.7500  0.5000
Pd  0.5000  0.5000  0.0000

Referenced to the most stable arrangement, the calculated values in meV/atom are one 125; two 0.

one | A plane-wave DFT calculation with GGA-PBE was carried out for a relaxed structure of ReAsPd3.

Summary:
As for the symmetry: Pm-3m (221).

Cell lengths 4.7963, 4.7963, 4.7963 Å; angles 90.00, 90.00, 90.00 degrees
Element x y z (fractional)
Re  0.0000  0.0000  0.0000
As  0.5000  0.5000  0.5000
Pd  0.0000  0.0000  0.5000
Pd  0.0000  0.5000  0.0000
Pd  0.5000  0.0000  0.0000

two | A plane-wave DFT calculation with GGA-PBE was carried out for a relaxed structure of ReAsPd3.

Summary:
As for the symmetry: Pm-3m (221).

Cell lengths 4.6140, 4.6140, 4.6140 Å; angles 90.00, 90.00, 90.00 degrees
Element x y z (fractional)
Re  0.0000  0.0000  0.0000
As  0.5000  0.5000  0.5000
Pd  0.0000  0.5000  0.5000
Pd  0.5000  0.0000  0.5000
Pd  0.5000  0.5000  0.0000

Referenced to the most stable arrangement, the calculated values in meV/atom are one 385; two 0.

one | A plane-wave DFT calculation with GGA-PBE was carried out for a relaxed structure of AsPd3Rh.

Summary:
As for the symmetry: Pm-3m (221).

Cell lengths 4.5931, 4.5931, 4.5931 Å; angles 90.00, 90.00, 90.00 degrees
Element x y z (fractional)
As  0.0000  0.0000  0.0000
Pd  0.0000  0.0000  0.5000
Pd  0.0000  0.5000  0.0000
Pd  0.5000  0.0000  0.0000
Rh  0.5000  0.5000  0.5000

two | A plane-wave DFT calculation with GGA-PBE was carried out for a relaxed structure of AsPd3Rh.

Summary:
As for the symmetry: Pm-3m (221).

Cell lengths 4.7892, 4.7892, 4.7892 Å; angles 90.00, 90.00, 90.00 degrees
Element x y z (fractional)
As  0.0000  0.0000  0.0000
Pd  0.0000  0.5000  0.5000
Pd  0.5000  0.0000  0.5000
Pd  0.5000  0.5000  0.0000
Rh  0.5000  0.5000  0.5000

Referenced to the most stable arrangement, the calculated values in meV/atom are one 0; two 627.

one | A plane-wave DFT calculation with GGA-PBE was carried out for a relaxed structure of AsPd2Ru2.

Summary:
As for the symmetry: P4/mbm (127).

Cell lengths 6.1768, 6.1768, 4.1819 Å; angles 90.00, 90.00, 90.00 degrees
Element x y z (fractional)
As  0.0000  0.0000  0.0000
As  0.5000  0.5000  0.0000
Pd  0.1647  0.3353  0.5000
Pd  0.3353  0.8353  0.5000
Pd  0.6647  0.1647  0.5000
Pd  0.8353  0.6647  0.5000
Ru  0.1386  0.6386  0.0000
Ru  0.3614  0.1386  0.0000
Ru  0.6386  0.8614  0.0000
Ru  0.8614  0.3614  0.0000

two | A plane-wave DFT calculation with GGA-PBE was carried out for a relaxed structure of AsPd2Ru2.

Summary:
As for the symmetry: I4/mmm (139).

Cell lengths 6.9612, 6.9612, 6.9612 Å; angles 150.33, 150.33, 42.45 degrees
Element x y z (fractional)
As  0.0000  0.0000  0.0000
Pd  0.2500  0.7500  0.5000
Pd  0.7500  0.2500  0.5000
Ru  0.4065  0.4065  0.0000
Ru  0.5935  0.5935  0.0000

Referenced to the most stable arrangement, the calculated values in meV/atom are one 0; two 398.

one | A plane-wave DFT calculation with GGA-PBE was carried out for a relaxed structure of As2PdRu.

Summary:
As for the symmetry: Fm-3m (225).

Cell lengths 4.4514, 4.4514, 4.4514 Å; angles 60.00, 60.00, 60.00 degrees
Element x y z (fractional)
As  0.2500  0.2500  0.2500
As  0.7500  0.7500  0.7500
Pd  0.0000  0.0000  0.0000
Ru  0.5000  0.5000  0.5000

two | A plane-wave DFT calculation with GGA-PBE was carried out for a relaxed structure of As2PdRu.

Summary:
As for the symmetry: R-3m (166).

Cell lengths 8.6114, 8.6114, 8.6114 Å; angles 20.50, 20.50, 20.50 degrees
Element x y z (fractional)
As  0.0953  0.0953  0.0953
As  0.9047  0.9047  0.9047
Pd  0.0000  0.0000  0.0000
Ru  0.5000  0.5000  0.5000

three | A plane-wave DFT calculation with GGA-PBE was carried out for a relaxed structure of As2PdRu.

Summary:
As for the symmetry: I-42d (122).

Cell lengths 6.6649, 6.6649, 6.6649 Å; angles 129.47, 129.47, 74.25 degrees
Element x y z (fractional)
As  0.1100  0.6250  0.9850
As  0.3750  0.3600  0.4850
As  0.6400  0.1250  0.0150
As  0.8750  0.8900  0.5150
Pd  0.2500  0.7500  0.5000
Pd  0.5000  0.5000  0.0000
Ru  0.0000  0.0000  0.0000
Ru  0.7500  0.2500  0.5000

Referenced to the most stable arrangement, the calculated values in meV/atom are one 144; two 0; three 112.

one | A plane-wave DFT calculation with GGA-PBE was carried out for a relaxed structure of AsPd3S.

Summary:
As for the symmetry: Pm-3m (221).

Cell lengths 4.6564, 4.6564, 4.6564 Å; angles 90.00, 90.00, 90.00 degrees
Element x y z (fractional)
As  0.0000  0.0000  0.0000
Pd  0.0000  0.0000  0.5000
Pd  0.0000  0.5000  0.0000
Pd  0.5000  0.0000  0.0000
S  0.5000  0.5000  0.5000

two | A plane-wave DFT calculation with GGA-PBE was carried out for a relaxed structure of AsPd3S.

Summary:
As for the symmetry: C2/m (12).

Cell lengths 7.4716, 7.4716, 6.9467 Å; angles 93.59, 93.59, 26.69 degrees
Element x y z (fractional)
As  0.1253  0.1253  0.3702
As  0.8747  0.8747  0.6298
Pd  0.0499  0.0499  0.6964
Pd  0.2449  0.2449  0.6685
Pd  0.4222  0.4222  0.8781
Pd  0.5778  0.5778  0.1219
Pd  0.7551  0.7551  0.3315
Pd  0.9501  0.9501  0.3036
S  0.3458  0.3458  0.1638
S  0.6542  0.6542  0.8362

three | A plane-wave DFT calculation with GGA-PBE was carried out for a relaxed structure of AsPd3S.

Summary:
As for the symmetry: Pm-3m (221).

Cell lengths 4.5212, 4.5212, 4.5212 Å; angles 90.00, 90.00, 90.00 degrees
Element x y z (fractional)
As  0.0000  0.0000  0.0000
Pd  0.0000  0.5000  0.5000
Pd  0.5000  0.0000  0.5000
Pd  0.5000  0.5000  0.0000
S  0.5000  0.5000  0.5000

Referenced to the most stable arrangement, the calculated values in meV/atom are one 644; two 0; three 352.

one | A plane-wave DFT calculation with GGA-PBE was carried out for a relaxed structure of SbAs2Pd6.

Summary:
As for the symmetry: C2/m (12).

Cell lengths 6.1276, 6.1276, 8.1039 Å; angles 104.38, 104.38, 30.67 degrees
Element x y z (fractional)
Sb  0.0000  0.0000  0.0000
As  0.3562  0.3562  0.4271
As  0.6438  0.6438  0.5729
Pd  0.0143  0.0143  0.3343
Pd  0.3085  0.3085  0.7399
Pd  0.3403  0.3403  0.1034
Pd  0.6597  0.6597  0.8966
Pd  0.6915  0.6915  0.2601
Pd  0.9857  0.9857  0.6657

two | A plane-wave DFT calculation with GGA-PBE was carried out for a relaxed structure of SbAs2Pd6.

Summary:
As for the symmetry: P4_2/mnm (136).

Cell lengths 6.4143, 6.4143, 8.9901 Å; angles 90.00, 90.00, 90.00 degrees
Element x y z (fractional)
Sb  0.0000  0.0000  0.0000
Sb  0.5000  0.5000  0.5000
As  0.0000  0.0000  0.3272
As  0.0000  0.0000  0.6728
As  0.5000  0.5000  0.1728
As  0.5000  0.5000  0.8272
Pd  0.2113  0.2113  0.5000
Pd  0.2332  0.2332  0.1759
Pd  0.2332  0.2332  0.8241
Pd  0.2668  0.7332  0.3241
Pd  0.2668  0.7332  0.6759
Pd  0.2887  0.7113  0.0000
Pd  0.7113  0.2887  0.0000
Pd  0.7332  0.2668  0.3241
Pd  0.7332  0.2668  0.6759
Pd  0.7668  0.7668  0.1759
Pd  0.7668  0.7668  0.8241
Pd  0.7887  0.7887  0.5000

Referenced to the most stable arrangement, the calculated values in meV/atom are one 0; two 313.

one | A plane-wave DFT calculation with GGA-PBE was carried out for a relaxed structure of SbAsPd2.

Summary:
As for the symmetry: P2_1/c (14).

Cell lengths 8.0651, 6.6869, 5.7260 Å; angles 90.00, 90.46, 90.00 degrees
Element x y z (fractional)
Sb  0.1240  0.0979  0.2728
Sb  0.1240  0.4021  0.7728
Sb  0.8760  0.5979  0.2272
Sb  0.8760  0.9021  0.7272
As  0.3809  0.5765  0.2013
As  0.3809  0.9235  0.7013
As  0.6191  0.0765  0.2987
As  0.6191  0.4235  0.7987
Pd  0.1493  0.7280  0.4840
Pd  0.1493  0.7720  0.9840
Pd  0.3937  0.2030  0.0041
Pd  0.3937  0.2970  0.5041
Pd  0.6063  0.7030  0.4959
Pd  0.6063  0.7970  0.9959
Pd  0.8507  0.2280  0.0160
Pd  0.8507  0.2720  0.5160

two | A plane-wave DFT calculation with GGA-PBE was carried out for a relaxed structure of SbAsPd2.

Summary:
As for the symmetry: Fm-3m (225).

Cell lengths 4.6760, 4.6760, 4.6760 Å; angles 60.00, 60.00, 60.00 degrees
Element x y z (fractional)
Sb  0.0000  0.0000  0.0000
As  0.5000  0.5000  0.5000
Pd  0.2500  0.2500  0.2500
Pd  0.7500  0.7500  0.7500

three | A plane-wave DFT calculation with GGA-PBE was carried out for a relaxed structure of SbAsPd2.

Summary:
As for the symmetry: R-3m (166).

Cell lengths 6.5228, 6.5228, 6.5228 Å; angles 34.23, 34.23, 34.23 degrees
Element x y z (fractional)
Sb  0.0000  0.0000  0.0000
As  0.5000  0.5000  0.5000
Pd  0.2382  0.2382  0.2382
Pd  0.7618  0.7618  0.7618

four | A plane-wave DFT calculation with GGA-PBE was carried out for a relaxed structure of SbAsPd2.

Summary:
As for the symmetry: P4/mmm (123).

Cell lengths 4.5813, 4.5813, 3.4577 Å; angles 90.00, 90.00, 90.00 degrees
Element x y z (fractional)
Sb  0.0000  0.0000  0.0000
As  0.5000  0.5000  0.0000
Pd  0.0000  0.5000  0.5000
Pd  0.5000  0.0000  0.5000

Referenced to the most stable arrangement, the calculated values in meV/atom are one 0; two 120; three 152; four 131.

one | A plane-wave DFT calculation with GGA-PBE was carried out for a relaxed structure of SbAsPd2.

Summary:
As for the symmetry: R3m (160).

Cell lengths 6.7942, 6.7942, 6.7942 Å; angles 32.25, 32.25, 32.25 degrees
Element x y z (fractional)
Sb  0.0000  0.0000  0.0000
As  0.1693  0.1693  0.1693
Pd  0.4297  0.4297  0.4297
Pd  0.5740  0.5740  0.5740

two | A plane-wave DFT calculation with GGA-PBE was carried out for a relaxed structure of SbAsPd2.

Summary:
As for the symmetry: I-42d (122).

Cell lengths 8.6146, 8.6146, 8.6146 Å; angles 149.31, 149.31, 43.96 degrees
Element x y z (fractional)
Sb  0.0000  0.0000  0.0000
Sb  0.7500  0.2500  0.5000
As  0.2500  0.7500  0.5000
As  0.5000  0.5000  0.0000
Pd  0.1709  0.6250  0.0459
Pd  0.3750  0.4209  0.5459
Pd  0.5791  0.1250  0.9541
Pd  0.8750  0.8291  0.4541

Referenced to the most stable arrangement, the calculated values in meV/atom are one 0; two 20.